[1]
DFT (PBE-GGA) results for Li7AgAu4 after structural relaxation.

```
data_Li7AgAu4
_symmetry_space_group_name_H-M 'C 1 2/m 1'
_symmetry_Int_Tables_number 12
_symmetry_space_group_name_Hall '-C 2y'
_cell_length_a 12.822
_cell_length_b 4.733
_cell_length_c 7.975
_cell_angle_alpha 90.00
_cell_angle_beta 122.77
_cell_angle_gamma 90.00
loop_
_atom_site_label
_atom_site_fract_x
_atom_site_fract_y
_atom_site_fract_z
Li1 0.000 0.000 0.000
Li2 0.071 0.500 0.406
Li3 0.209 0.500 0.878
Li4 0.244 0.500 0.279
Ag1 0.000 0.500 0.000
Au1 0.064 0.000 0.735
Au2 0.186 0.000 0.354
```

Results
crystal system	monoclinic
total magnetization	0.0	μB per cell
DFT formation energy	-0.342	eV/atom
energy	-66.9	eV/cell

[2]
DFT (PBE-GGA) results for Li7AgAu3 after structural relaxation.

```
data_Li7AgAu3
_symmetry_space_group_name_H-M 'C m c m'
_symmetry_Int_Tables_number 63
_symmetry_space_group_name_Hall '-C 2c 2'
_cell_length_a 2.876
_cell_length_b 21.425
_cell_length_c 12.228
_cell_angle_alpha 90.00
_cell_angle_beta 90.00
_cell_angle_gamma 90.00
loop_
_atom_site_label
_atom_site_fract_x
_atom_site_fract_y
_atom_site_fract_z
Li1 0.000 0.057 0.128
Li2 0.000 0.093 0.599
Li3 0.000 0.184 0.250
Li4 0.000 0.222 0.596
Ag1 0.000 0.474 0.250
Au1 0.000 0.335 0.250
Au2 0.000 0.344 0.559
```

Results
crystal system	orthorhombic
total magnetization	0.0	μB per cell
DFT formation energy	-0.380	eV/atom
energy	-121.0	eV/cell

[3]
DFT (PBE-GGA) results for LiAg2Au9 after structural relaxation.

```
data_LiAg2Au9
_symmetry_space_group_name_H-M 'P 4/m m m'
_symmetry_Int_Tables_number 123
_symmetry_space_group_name_Hall '-P 4 2'
_cell_length_a 4.130
_cell_length_b 4.130
_cell_length_c 12.375
_cell_angle_alpha 90.00
_cell_angle_beta 90.00
_cell_angle_gamma 90.00
loop_
_atom_site_label
_atom_site_fract_x
_atom_site_fract_y
_atom_site_fract_z
Li1 0.000 0.000 0.000
Ag1 0.000 0.000 0.331
Au1 0.000 0.500 0.160
Au2 0.000 0.500 0.500
Au3 0.500 0.500 0.000
Au4 0.500 0.500 0.330
```

Results
crystal system	tetragonal
total magnetization	0.0	μB per cell
DFT formation energy	-0.133	eV/atom
energy	-38.7	eV/cell

Repeat the second record exactly.
DFT (PBE-GGA) results for Li7AgAu3 after structural relaxation.

```
data_Li7AgAu3
_symmetry_space_group_name_H-M 'C m c m'
_symmetry_Int_Tables_number 63
_symmetry_space_group_name_Hall '-C 2c 2'
_cell_length_a 2.876
_cell_length_b 21.425
_cell_length_c 12.228
_cell_angle_alpha 90.00
_cell_angle_beta 90.00
_cell_angle_gamma 90.00
loop_
_atom_site_label
_atom_site_fract_x
_atom_site_fract_y
_atom_site_fract_z
Li1 0.000 0.057 0.128
Li2 0.000 0.093 0.599
Li3 0.000 0.184 0.250
Li4 0.000 0.222 0.596
Ag1 0.000 0.474 0.250
Au1 0.000 0.335 0.250
Au2 0.000 0.344 0.559
```

Results
crystal system	orthorhombic
total magnetization	0.0	μB per cell
DFT formation energy	-0.380	eV/atom
energy	-121.0	eV/cell

Question: Which value of energy does entry 3 give?
Answer: -38.7 eV/cell

Repeat the first record exactly.
DFT (PBE-GGA) results for Li7AgAu4 after structural relaxation.

```
data_Li7AgAu4
_symmetry_space_group_name_H-M 'C 1 2/m 1'
_symmetry_Int_Tables_number 12
_symmetry_space_group_name_Hall '-C 2y'
_cell_length_a 12.822
_cell_length_b 4.733
_cell_length_c 7.975
_cell_angle_alpha 90.00
_cell_angle_beta 122.77
_cell_angle_gamma 90.00
loop_
_atom_site_label
_atom_site_fract_x
_atom_site_fract_y
_atom_site_fract_z
Li1 0.000 0.000 0.000
Li2 0.071 0.500 0.406
Li3 0.209 0.500 0.878
Li4 0.244 0.500 0.279
Ag1 0.000 0.500 0.000
Au1 0.064 0.000 0.735
Au2 0.186 0.000 0.354
```

Results
crystal system	monoclinic
total magnetization	0.0	μB per cell
DFT formation energy	-0.342	eV/atom
energy	-66.9	eV/cell